Entry 1:
# Pr2SmTh

A relaxed Pr2SmTh crystal (GGA-PBE, Alexandria).

The formation energy from the elements is 0.034 eV/atom. For the uncorrected energy, the calculation gives -5.391 eV per atom.

The structure belongs to space group R3m (No. 160, hexagonal axes); the cell edges are 3.6657, 3.6657 and 35.6769 Å and the angles 90.00°, 90.00° and 120.00°. The inequivalent atoms are Pr at (0.0000, 0.0000, 0.0000), Pr at (0.0000, 0.0000, 0.1708), Sm at (0.0000, 0.0000, 0.4187) and Th at (0.0000, 0.0000, 0.5856).



Entry 2:
# Pr4Sm7Th

A relaxed Pr4Sm7Th crystal (GGA-PBE, Alexandria).

The formation energy from the elements is 0.025 eV/atom. For the uncorrected energy, the calculation gives -4.940 eV per atom.

The structure belongs to space group P-1 (No. 2); the cell edges are 6.3731, 7.3450 and 9.1376 Å and the angles 90.05°, 103.50° and 90.11°. The inequivalent atoms are Pr at (0.2235, 0.0003, 0.1653), Pr at (0.2766, 0.2551, 0.8285), Sm at (0.0000, 0.0000, 0.5000), Sm at (0.2161, 0.5002, 0.1740), Sm at (0.2752, 0.7446, 0.8268), Sm at (0.5000, 0.2567, 0.4994) and Th at (0.0000, 0.5000, 0.5000).



Entry 3:
# PrSmTh2

A relaxed PrSmTh2 crystal (GGA-PBE, Alexandria).

The formation energy from the elements is 0.086 eV/atom. For the uncorrected energy, the calculation gives -5.999 eV per atom.

The structure belongs to space group P4/mmm (No. 123); the cell edges are 5.0497, 5.0497 and 5.2245 Å and the angles 90.00°, 90.00° and 90.00°. The inequivalent atoms are Pr at (0.0000, 0.0000, 0.0000), Sm at (0.5000, 0.5000, 0.0000) and Th at (0.0000, 0.5000, 0.5000).



Entry 4:
# Pr9Sm2Th

A relaxed Pr9Sm2Th crystal (GGA-PBE, Alexandria).

The formation energy from the elements is 0.030 eV/atom. For the uncorrected energy, the calculation gives -4.960 eV per atom.

The structure belongs to space group P4/mmm (No. 123); the cell edges are 5.2156, 5.2156 and 15.6455 Å and the angles 90.00°, 90.00° and 90.00°. The inequivalent atoms are Pr at (0.0000, 0.0000, 0.0000), Pr at (0.0000, 0.0000, 0.3341), Pr at (0.0000, 0.5000, 0.1635), Pr at (0.0000, 0.5000, 0.5000), Sm at (0.5000, 0.5000, 0.3332) and Th at (0.5000, 0.5000, 0.0000).



Entry 5:
# Pr2Sm6Th

A relaxed Pr2Sm6Th crystal (GGA-PBE, Alexandria).

The formation energy from the elements is 0.073 eV/atom. For the uncorrected energy, the calculation gives -4.960 eV per atom.

The structure belongs to space group P-6m2 (No. 187); the cell edges are 3.6354, 3.6354 and 27.1818 Å and the angles 90.00°, 90.00° and 120.00°. The inequivalent atoms are Pr at (0.0000, 0.0000, 0.1702), Sm at (0.0000, 0.0000, 0.3922), Sm at (0.6667, 0.3333, 0.0627), Sm at (0.6667, 0.3333, 0.2840) and Th at (0.6667, 0.3333, 0.5000).



Entry 6:
# Pr8Sm3Th

A relaxed Pr8Sm3Th crystal (GGA-PBE, Alexandria).

The formation energy from the elements is 0.027 eV/atom. For the uncorrected energy, the calculation gives -4.957 eV per atom.

The structure belongs to space group P1 (No. 1); the cell edges are 6.3718, 8.2379 and 9.0169 Å and the angles 68.70°, 89.91° and 75.22°. The inequivalent atoms are Pr at (0.0000, 0.0000, 0.0000), Pr at (0.0789, 0.2592, 0.5783), Pr at (0.1608, 0.5113, 0.1628), Pr at (0.2508, 0.7557, 0.7484), Pr at (0.4161, 0.2488, 0.9148), Pr at (0.6602, 0.0045, 0.6665), Pr at (0.7431, 0.2625, 0.2461), Pr at (0.8255, 0.5109, 0.8311), Sm at (0.3336, 0.0014, 0.3275), Sm at (0.4967, 0.5129, 0.4896), Sm at (0.9066, 0.7583, 0.4086) and Th at (0.5799, 0.7564, 0.0825).



Entry 7:
# Pr2Sm4Th

A relaxed Pr2Sm4Th crystal (GGA-PBE, Alexandria).

The formation energy from the elements is 0.016 eV/atom. For the uncorrected energy, the calculation gives -5.107 eV per atom.

The structure belongs to space group R-3m (No. 166, hexagonal axes); the cell edges are 3.6482, 3.6482 and 62.3450 Å and the angles 90.00°, 90.00° and 120.00°. The inequivalent atoms are Pr at (0.0000, 0.0000, 0.0715), Sm at (0.0000, 0.0000, 0.2123), Sm at (0.0000, 0.0000, 0.3571) and Th at (0.0000, 0.0000, 0.5000).



Entry 8:
# Pr3Sm7Th

A relaxed Pr3Sm7Th crystal (GGA-PBE, Alexandria).

The formation energy from the elements is 0.174 eV/atom. For the uncorrected energy, the calculation gives -4.807 eV per atom.

The structure belongs to space group P3m1 (No. 156); the cell edges are 7.2133, 7.2133 and 8.8463 Å and the angles 90.00°, 90.00° and 120.00°. The inequivalent atoms are Pr at (0.0050, 0.5025, 0.0000), Sm at (0.1694, 0.3388, 0.3431), Sm at (0.3345, 0.1673, 0.6689), Sm at (0.6667, 0.3333, 0.3421) and Th at (0.3333, 0.6667, 0.6678).



Entry 9:
# Pr3SmTh2

A relaxed Pr3SmTh2 crystal (GGA-PBE, Alexandria).

The formation energy from the elements is 0.075 eV/atom. For the uncorrected energy, the calculation gives -5.574 eV per atom.

The structure belongs to space group Cmmm (No. 65); the cell edges are 5.1399, 15.4135 and 5.2079 Å and the angles 90.00°, 90.00° and 90.00°. The inequivalent atoms are Pr at (0.0000, 0.0000, 0.0000), Pr at (0.0000, 0.1691, 0.5000), Sm at (0.0000, 0.5000, 0.5000) and Th at (0.0000, 0.3307, 0.0000).



Entry 10:
# Pr5Sm12Th2

A relaxed Pr5Sm12Th2 crystal (GGA-PBE, Alexandria).

The formation energy from the elements is 0.139 eV/atom. For the uncorrected energy, the calculation gives -4.880 eV per atom.

The structure belongs to space group C2/m (No. 12); the cell edges are 16.0020, 9.4390 and 8.8587 Å and the angles 90.00°, 93.04° and 90.00°. The inequivalent atoms are Pr at (0.0000, 0.0000, 0.0000), Pr at (0.2099, 0.5000, 0.5376), Pr at (0.2336, 0.0000, 0.0652), Sm at (0.0560, 0.5000, 0.8391), Sm at (0.0689, 0.0000, 0.3783), Sm at (0.1320, 0.3041, 0.1854), Sm at (0.1451, 0.1787, 0.7409) and Th at (0.0000, 0.3331, 0.5000).



Entry 11:
# Pr8Sm4Th

A relaxed Pr8Sm4Th crystal (GGA-PBE, Alexandria).

The formation energy from the elements is 0.406 eV/atom. For the uncorrected energy, the calculation gives -4.558 eV per atom.

The structure belongs to space group R-3m (No. 166, hexagonal axes); the cell edges are 11.9209, 11.9209 and 11.8541 Å and the angles 90.00°, 90.00° and 120.00°. The inequivalent atoms are Pr at (0.0000, 0.0000, 0.2406), Pr at (0.0005, 0.5002, 0.3302), Sm at (0.0000, 0.0000, 0.0000), Sm at (0.0000, 0.5000, 0.0000) and Th at (0.0000, 0.0000, 0.5000).



Entry 12:
# PrSmThTl

A relaxed PrSmThTl crystal (GGA-PBE, Alexandria).

The formation energy from the elements is 0.037 eV/atom. For the uncorrected energy, the calculation gives -4.784 eV per atom.

The structure belongs to space group F-43m (No. 216); the cell edges are 7.9002, 7.9002 and 7.9002 Å and the angles 90.00°, 90.00° and 90.00°. The inequivalent atoms are Pr at (0.0000, 0.0000, 0.0000), Sm at (0.0000, 0.0000, 0.5000), Th at (0.2500, 0.2500, 0.7500) and Tl at (0.2500, 0.2500, 0.2500).



Entry 13:
# Pr2Sm5TmTh

A relaxed Pr2Sm5TmTh crystal (GGA-PBE, Alexandria).

The formation energy from the elements is 0.147 eV/atom. For the uncorrected energy, the calculation gives -4.858 eV per atom.

The structure belongs to space group Cmc2_1 (No. 36); the cell edges are 5.6849, 20.6304 and 10.5921 Å and the angles 90.00°, 90.00° and 90.00°. The inequivalent atoms are Pr at (0.0000, 0.1149, 0.0000), Pr at (0.0000, 0.1151, 0.4189), Sm at (0.0000, 0.0145, 0.7039), Sm at (0.0000, 0.2750, 0.0014), Sm at (0.0000, 0.2952, 0.3915), Sm at (0.0000, 0.3842, 0.7103), Sm at (0.0000, 0.4827, 0.4306), Tm at (0.0000, 0.4049, 0.1474) and Th at (0.0000, 0.1981, 0.6988).



Entry 14:
# Pr6SmTm2Th

A relaxed Pr6SmTm2Th crystal (GGA-PBE, Alexandria).

The formation energy from the elements is 0.138 eV/atom. For the uncorrected energy, the calculation gives -4.838 eV per atom.

The structure belongs to space group C2/c (No. 15); the cell edges are 9.4348, 15.1004 and 9.8535 Å and the angles 90.00°, 98.58° and 90.00°. The inequivalent atoms are Pr at (0.0676, 0.1729, 0.4425), Pr at (0.0945, 0.3948, 0.6195), Pr at (0.2072, 0.2177, 0.8141), Sm at (0.0000, 0.4059, 0.2500), Tm at (0.2413, 0.0444, 0.0517) and Th at (0.0000, 0.0307, 0.7500).



Entry 15:
# PrSm6Tm2Th

A relaxed PrSm6Tm2Th crystal (GGA-PBE, Alexandria).

The formation energy from the elements is 0.144 eV/atom. For the uncorrected energy, the calculation gives -4.802 eV per atom.

The structure belongs to space group C2/c (No. 15); the cell edges are 9.3893, 14.9601 and 9.6414 Å and the angles 90.00°, 97.02° and 90.00°. The inequivalent atoms are Pr at (0.0000, 0.0949, 0.2500), Sm at (0.0649, 0.3274, 0.4408), Sm at (0.0938, 0.1093, 0.6175), Sm at (0.2038, 0.2791, 0.8167), Tm at (0.2446, 0.4532, 0.0527) and Th at (0.0000, 0.4666, 0.7500).



Entry 16:
# Pr3Sm6Tm2Th

A relaxed Pr3Sm6Tm2Th crystal (GGA-PBE, Alexandria).

The formation energy from the elements is 0.028 eV/atom. For the uncorrected energy, the calculation gives -4.891 eV per atom.

The structure belongs to space group C2/m (No. 12); the cell edges are 6.2687, 10.8434 and 12.0649 Å and the angles 90.00°, 99.95° and 90.00°. The inequivalent atoms are Pr at (0.0000, 0.0000, 0.0000), Pr at (0.0000, 0.3333, 0.0000), Sm at (0.2463, 0.3348, 0.7440), Sm at (0.2491, 0.5000, 0.2559), Tm at (0.0000, 0.1667, 0.5000) and Th at (0.0000, 0.5000, 0.5000).



Entry 17:
# PrSmTm2Th

A relaxed PrSmTm2Th crystal (GGA-PBE, Alexandria).

The formation energy from the elements is 0.298 eV/atom. For the uncorrected energy, the calculation gives -4.874 eV per atom.

The structure belongs to space group Pmmm (No. 47); the cell edges are 3.5434, 5.6512 and 8.6908 Å and the angles 90.00°, 90.00° and 90.00°. The inequivalent atoms are Pr at (0.0000, 0.0000, 0.0000), Sm at (0.5000, 0.0000, 0.5000), Tm at (0.0000, 0.5000, 0.3209) and Th at (0.5000, 0.5000, 0.0000).



Entry 18:
# Pr2SmTmTh

A relaxed Pr2SmTmTh crystal (GGA-PBE, Alexandria).

The formation energy from the elements is 0.326 eV/atom. For the uncorrected energy, the calculation gives -4.908 eV per atom.

The structure belongs to space group P2/c (No. 13); the cell edges are 8.7629, 6.2993 and 6.3922 Å and the angles 90.00°, 90.20° and 90.00°. The inequivalent atoms are Pr at (0.1868, 0.2090, 0.2510), Sm at (0.5000, 0.0370, 0.7500), Tm at (0.0000, 0.3154, 0.7500) and Th at (0.5000, 0.5000, 0.0000).



Entry 19:
# PrSm5Tm2Th

A relaxed PrSm5Tm2Th crystal (GGA-PBE, Alexandria).

The formation energy from the elements is 0.166 eV/atom. For the uncorrected energy, the calculation gives -4.804 eV per atom.

The structure belongs to space group Cmc2_1 (No. 36); the cell edges are 5.6824, 20.3309 and 10.5027 Å and the angles 90.00°, 90.00° and 90.00°. The inequivalent atoms are Pr at (0.0000, 0.0883, 0.0000), Sm at (0.0000, 0.0236, 0.2946), Sm at (0.0000, 0.1122, 0.5824), Sm at (0.0000, 0.2058, 0.2610), Sm at (0.0000, 0.2235, 0.8704), Sm at (0.0000, 0.4845, 0.5775), Tm at (0.0000, 0.3846, 0.8741), Tm at (0.0000, 0.3865, 0.2892) and Th at (0.0000, 0.3012, 0.5695).



Entry 20:
# PrSm2Tm2Th2

A relaxed PrSm2Tm2Th2 crystal (GGA-PBE, Alexandria).

The formation energy from the elements is 0.255 eV/atom. For the uncorrected energy, the calculation gives -5.174 eV per atom.

The structure belongs to space group C2/m (No. 12); the cell edges are 17.5859, 3.3696 and 9.0195 Å and the angles 90.00°, 119.26° and 90.00°. The inequivalent atoms are Pr at (0.0000, 0.0000, 0.0000), Sm at (0.2054, 0.5000, 0.1232), Tm at (0.1503, 0.0000, 0.4269) and Th at (0.0692, 0.0000, 0.7024).